(1)
Crystalline VPd2PtW at its relaxed geometry, computed with PBE.

E = -6.506 eV/atom

Cell lengths 4.5592, 4.3938, 4.5592 Å; angles 90.00, 90.00, 90.00 degrees
Fractional positions:
Pd 0.0000 0.0000 0.5000
Pd 0.5000 0.0000 0.0000
W 0.0000 0.5000 0.0000
Pt 0.5000 0.5000 0.5000
V 0.0000 0.0000 0.0000

---

(2)
Crystalline K2NbZnCd at its relaxed geometry, computed with PBE.

E = -1.859 eV/atom

Cell lengths 6.6960, 5.2735, 6.6960 Å; angles 90.00, 90.00, 90.00 degrees
Last column: magnetic moment on the atom in μB.
Fractional positions:
K 0.0000 0.0000 0.5000  0.04
K 0.5000 0.0000 0.0000  0.04
Nb 0.0000 0.0000 0.0000  2.98
Zn 0.0000 0.5000 0.0000  0.09
Cd 0.5000 0.5000 0.5000  0.01

---

(3)
Crystalline AlSnHgCl6 at its relaxed geometry, computed with PBE.

uncorrected formation energy = -1.01 eV/atom
E = -3.138 eV/atom

Cell lengths 6.4930, 6.4930, 9.5158 Å; angles 90.00, 90.00, 60.00 degrees
Last column: magnetic moment on the atom in μB.
Fractional positions:
Al 0.3333 0.3333 0.5000  0.00
Sn 0.6667 0.6667 0.5000  0.23
Hg 0.0000 0.0000 0.0000  0.01
Cl 0.0362 0.3450 0.3529  0.07
Cl 0.3450 0.0362 0.6471  0.07
Cl 0.6187 0.3450 0.6471  0.07
Cl 0.0362 0.6188 0.6471  0.07
Cl 0.3450 0.6188 0.3529  0.07
Cl 0.6188 0.0362 0.3529  0.07